Entry 1:
A plane-wave DFT calculation with GGA-PBE was carried out for crystalline CuNiRh2 at its relaxed geometry.

a b c (Å): 2.677 2.677 7.232
angles (deg): 90.00 90.00 90.00
Fractional positions:
Rh (0.000, 0.000, 0.509)
Rh (0.000, 0.000, 0.991)
Cu (0.500, 0.500, 0.250)
Ni (0.500, 0.500, 0.750)

Output
**Magnetic moment**: 0.004 μB/cell
**Formation enthalpy at 0 K**: 0.083 eV per atom
**Energy**: -24.2 eV/cell
**Crystal system**: tetragonal

***

Entry 2:
A plane-wave DFT calculation with GGA-PBE was carried out for crystalline La2ZrAs at its relaxed geometry.

a b c (Å): 9.037 9.037 6.992
angles (deg): 49.74 49.74 90.00
Fractional positions:
La (0.570, 0.125, 0.250)
La (0.180, 0.625, 0.250)
La (0.375, 0.430, 0.750)
La (0.875, 0.820, 0.750)
Zr (0.000, 0.000, 0.000)
Zr (0.750, 0.250, 0.500)
As (0.500, 0.500, 0.000)
As (0.250, 0.750, 0.500)

Output
**Magnetic moment**: 0.036 μB/cell
**Formation enthalpy at 0 K**: -0.221 eV per atom
**Energy**: -47.9 eV/cell
**Crystal system**: tetragonal

***

Entry 3:
A plane-wave DFT calculation with GGA-PBE was carried out for crystalline NaY2GeI at its relaxed geometry.

a b c (Å): 5.688 5.660 5.688
angles (deg): 90.00 90.00 90.00
Fractional positions:
Ge (0.000, 0.500, 0.000)
Y (0.000, 0.000, 0.500)
Y (0.500, 0.000, 0.000)
I (0.000, 0.000, 0.000)
Na (0.500, 0.500, 0.500)

Output
**Magnetic moment**: 0.000 μB/cell
**Energy**: -18.4 eV/cell
**Crystal system**: tetragonal
**Energy above the most stable polymorph in this dataset**: 0.00 eV per formula unit
**Formation energy without anion corrections**: 398 meV/atom

***

Entry 4:
A plane-wave DFT calculation with GGA-PBE was carried out for crystalline Nd2DyTm3 at its relaxed geometry.

a b c (Å): 3.491 9.043 12.928
angles (deg): 78.13 82.24 78.87
Fractional positions:
Nd (0.820, 0.480, 0.880)
Nd (0.655, 0.158, 0.532)
Nd (0.345, 0.842, 0.468)
Nd (0.180, 0.520, 0.120)
Tm (0.737, 0.818, 0.708)
Tm (0.263, 0.182, 0.292)
Tm (0.598, 0.829, 0.974)
Tm (0.039, 0.129, 0.792)
Tm (0.961, 0.871, 0.208)
Tm (0.402, 0.171, 0.026)
Dy (0.563, 0.518, 0.357)
Dy (0.437, 0.482, 0.643)

Output
**Magnetic moment**: 0.000 μB/cell
**Formation enthalpy at 0 K**: 0.122 eV per atom
**Energy**: -53.6 eV/cell
**Crystal system**: monoclinic
**Energy above the most stable polymorph in this dataset**: 0.00 eV per formula unit

***

Entry 5:
A plane-wave DFT calculation with GGA-PBE was carried out for crystalline La4Pr7Tm at its relaxed geometry.

a b c (Å): 7.399 9.801 9.808
angles (deg): 69.15 79.17 40.90
Fractional positions:
La (0.752, 0.833, 0.667)
La (0.504, 0.331, 0.670)
La (0.248, 0.167, 0.333)
La (0.496, 0.669, 0.330)
Pr (0.500, 0.000, 0.000)
Pr (0.748, 0.499, 0.000)
Pr (0.751, 0.165, 0.331)
Pr (0.249, 0.835, 0.669)
Pr (0.252, 0.501, 0.000)
Pr (0.000, 0.667, 0.331)
Pr (0.000, 0.333, 0.669)
Tm (0.000, 0.000, 0.000)

Output
**Magnetic moment**: 0.000 μB/cell
**Formation enthalpy at 0 K**: 0.013 eV per atom
**Energy**: -57.5 eV/cell
**Crystal system**: triclinic
**Energy above the most stable polymorph in this dataset**: 0.00 eV per formula unit

***

Entry 6:
A plane-wave DFT calculation with GGA-PBE was carried out for crystalline Pr2NdIO8 at its relaxed geometry.

a b c (Å): 5.221 5.223 7.119
angles (deg): 90.00 90.00 90.43
Fractional positions:
O (0.259, 0.256, 0.000)
O (0.689, 0.691, 0.500)
O (0.175, 0.823, 0.200)
O (0.175, 0.823, 0.800)
O (0.825, 0.177, 0.800)
O (0.825, 0.177, 0.200)
O (0.741, 0.744, 0.000)
O (0.311, 0.309, 0.500)
Pr (0.500, 0.500, 0.246)
Pr (0.500, 0.500, 0.754)
Nd (0.000, 0.000, 0.500)
I (0.000, 0.000, 0.000)

Output
**Magnetic moment**: 0.000 μB/cell
**Energy**: -82.0 eV/cell
**Crystal system**: monoclinic
**Formation energy without anion corrections**: -2204 meV/atom

***

Entry 7:
A plane-wave DFT calculation with GGA-PBE was carried out for crystalline P2PbO at its relaxed geometry.

a b c (Å): 4.575 4.575 4.575
angles (deg): 60.00 60.00 60.00
Fractional positions:
Pb (0.500, 0.500, 0.500)
O (0.000, 0.000, 0.000)
P (0.750, 0.750, 0.750)
P (0.250, 0.250, 0.250)

Output
**Magnetic moment**: 0.000 μB/cell
**Energy**: -16.2 eV/cell
**Crystal system**: cubic
**Energy above the most stable polymorph in this dataset**: 3.02 eV per formula unit
**Formation energy without anion corrections**: 827 meV/atom

***

Entry 8:
A plane-wave DFT calculation with GGA-PBE was carried out for crystalline BaAlAs2 at its relaxed geometry.

a b c (Å): 5.275 5.275 5.275
angles (deg): 60.00 60.00 60.00
Fractional positions:
As (0.250, 0.250, 0.250)
As (0.000, 0.000, 0.000)
Ba (0.750, 0.750, 0.750)
Al (0.500, 0.500, 0.500)

Output
**Magnetic moment**: 0.000 μB/cell
**Formation enthalpy at 0 K**: 0.023 eV per atom
**Energy**: -14.9 eV/cell
**Crystal system**: cubic

***

Question: Number 1 is which compound?
Answer: CuNiRh2